The following is a DFT calculation (PBE-GGA) of crystalline BaCdSO at its relaxed geometry.

Lattice parameters (Å, degrees): 6.995 7.534 7.144 90.00 90.00 90.00
Positions (direct):
S: 0.544 0.204 0.648
S: 0.044 0.296 0.352
S: 0.956 0.796 0.148
S: 0.456 0.704 0.852
O: 0.127 0.376 0.886
O: 0.627 0.124 0.114
O: 0.873 0.876 0.614
O: 0.373 0.624 0.386
Cd: 0.265 0.428 0.612
Cd: 0.235 0.572 0.112
Cd: 0.765 0.072 0.388
Cd: 0.735 0.928 0.888
Ba: 0.782 0.404 0.979
Ba: 0.718 0.596 0.479
Ba: 0.218 0.904 0.521
Ba: 0.282 0.096 0.021

Calculated values
Final energy, hartree per atom: -0.1640

---

The following is a DFT calculation (PBE-GGA) of crystalline Y2HoFe2Co7 at its relaxed geometry.

Lattice parameters (Å, degrees): 8.446 8.446 8.446 34.76 34.76 34.76
Positions (direct):
Co: 0.582 0.080 0.582
Co: 0.418 0.418 0.920
Co: 0.582 0.582 0.080
Co: 0.080 0.582 0.582
Co: 0.920 0.418 0.418
Co: 0.500 0.500 0.500
Co: 0.418 0.920 0.418
Ho: 0.000 0.000 0.000
Y: 0.141 0.141 0.141
Y: 0.859 0.859 0.859
Fe: 0.334 0.334 0.334
Fe: 0.666 0.666 0.666

Calculated values
Magnetic moment, μB per cell: 12.5
Formation enthalpy at 0 K, eV per atom: -0.172

---

The following is a DFT calculation (PBE-GGA) of crystalline PrDy2Co2B2N3 at its relaxed geometry.

Lattice parameters (Å, degrees): 10.377 10.377 10.377 160.44 160.44 27.80
Positions (direct):
N: 0.500 0.500 0.000
N: 0.878 0.878 0.000
N: 0.122 0.122 0.000
Co: 0.250 0.750 0.500
Co: 0.750 0.250 0.500
B: 0.804 0.804 0.000
B: 0.196 0.196 0.000
Dy: 0.627 0.627 0.000
Dy: 0.373 0.373 0.000
Pr: 0.000 0.000 0.000

Calculated values
Magnetic moment, μB per cell: 0.0
Final energy, hartree per atom: -0.2853

---

The following is a DFT calculation (PBE-GGA) of crystalline TbSm2IrO6 at its relaxed geometry.

Lattice parameters (Å, degrees): 5.591 5.943 9.458 90.00 122.75 90.00
Positions (direct):
O: 0.114 0.801 0.937
O: 0.375 0.560 0.234
O: 0.886 0.301 0.563
O: 0.625 0.060 0.266
O: 0.886 0.199 0.063
O: 0.625 0.440 0.766
O: 0.762 0.807 0.564
O: 0.762 0.693 0.064
O: 0.238 0.193 0.436
O: 0.238 0.307 0.936
O: 0.114 0.699 0.437
O: 0.375 0.940 0.734
Tb: 0.500 0.000 0.000
Tb: 0.500 0.500 0.500
Ir: 0.000 0.000 0.500
Ir: 0.000 0.500 0.000
Sm: 0.219 0.570 0.747
Sm: 0.781 0.430 0.253
Sm: 0.781 0.070 0.753
Sm: 0.219 0.930 0.247

Calculated values
Magnetic moment, μB per cell: 0.0
Final energy, hartree per atom: -0.2913

---

The following is a DFT calculation (PBE-GGA) of crystalline Y3Tm3Te2Os at its relaxed geometry.

Lattice parameters (Å, degrees): 8.238 8.238 4.053 90.00 90.00 120.00
Positions (direct):
Y: 0.391 0.391 0.000
Y: 0.609 0.000 0.000
Y: 0.000 0.609 0.000
Te: 0.667 0.333 0.500
Te: 0.333 0.667 0.500
Tm: 0.000 0.236 0.500
Tm: 0.236 0.000 0.500
Tm: 0.764 0.764 0.500
Os: 0.000 0.000 0.000

Calculated values
Magnetic moment, μB per cell: 0.0
Energy above the lowest structure with this stoichiometry, meV/atom: 0

---

The following is a DFT calculation (PBE-GGA) of crystalline GdHoZn6 at its relaxed geometry.

Lattice parameters (Å, degrees): 4.673 4.673 6.614 90.00 90.00 90.00
Positions (direct):
Zn: 0.500 0.000 0.252
Zn: 0.500 0.500 0.000
Zn: 0.500 0.000 0.748
Zn: 0.000 0.500 0.748
Zn: 0.000 0.500 0.252
Zn: 0.000 0.000 0.500
Ho: 0.500 0.500 0.500
Gd: 0.000 0.000 0.000

Calculated values
Magnetic moment, μB per cell: 0.0
Formation enthalpy at 0 K, eV per atom: -0.295

---

The following is a DFT calculation (PBE-GGA) of crystalline AcErAs at its relaxed geometry.

Lattice parameters (Å, degrees): 5.336 5.336 5.336 60.00 60.00 60.00
Positions (direct):
As: 0.250 0.250 0.250
Ac: 0.000 0.000 0.000
Er: 0.750 0.750 0.750

Calculated values
Magnetic moment, μB per cell: 0.5
Energy above the lowest structure with this stoichiometry, meV/atom: 959

---

The following is a DFT calculation (PBE-GGA) of crystalline TlAgSb at its relaxed geometry.

Lattice parameters (Å, degrees): 4.987 4.987 4.987 60.00 60.00 60.00
Positions (direct):
Sb: 0.000 0.000 0.000
Ag: 0.750 0.750 0.750
Tl: 0.250 0.250 0.250

Calculated values
Energy above the lowest structure with this stoichiometry, meV/atom: 0